Model i:
PBE-GGA CsMg2Sn2, optimized geometry; density of states at the Fermi level = 0.5832 states/eV/atom; M_tot = 0.0 Bohr magnetons per cell
1.0
9.571 0.000 0.000
0.000 9.571 0.000
0.000 0.000 3.334
Cs Mg Sn
2 4 4
Cartesian
0.000 0.000 0.000
4.786 4.786 0.000
1.315 3.470 1.667
3.470 8.256 1.667
6.101 1.315 1.667
8.256 6.101 1.667
1.372 6.157 0.000
3.414 1.372 0.000
6.157 8.199 0.000
8.199 3.414 0.000

Model ii:
PBE-GGA CsMg2Sn2, optimized geometry; density of states at the Fermi level = 0.3019 states/eV/atom; M_tot = 0.0 Bohr magnetons per cell
1.0
9.455 0.000 0.000
0.000 9.455 0.000
0.000 0.000 3.276
Cs Mg Sn
2 4 4
Cartesian
0.000 0.000 0.000
4.727 4.727 0.000
1.216 3.511 0.000
3.511 8.238 0.000
5.943 1.216 0.000
8.238 5.943 0.000
1.475 6.203 1.638
3.252 1.475 1.638
6.203 7.979 1.638
7.979 3.252 1.638

Which of them is most stable? Easy: model ii.

Model i:
PBE-GGA CsSrMg3, optimized geometry; density of states at the Fermi level = 0.7107 states/eV/atom; M_tot = 0.0 Bohr magnetons per cell
1.0
6.381 0.000 0.000
0.000 6.381 0.000
0.000 0.000 6.381
Cs Sr Mg
1 1 3
Cartesian
0.000 0.000 0.000
3.191 3.191 3.191
0.000 0.000 3.191
0.000 3.191 0.000
3.191 0.000 0.000

Model ii:
PBE-GGA CsSrMg3, optimized geometry; density of states at the Fermi level = 0.9366 states/eV/atom; M_tot = 0.0 Bohr magnetons per cell
1.0
6.672 0.000 0.000
0.000 6.672 0.000
0.000 0.000 6.672
Cs Sr Mg
1 1 3
Cartesian
0.000 0.000 0.000
3.336 3.336 3.336
0.000 3.336 3.336
3.336 0.000 3.336
3.336 3.336 0.000

Which of them is most stable? Easy: model ii.